Computed, not measured: La2Sb after structural relaxation at the PBE level of DFT.

The value obtained for the density of states at the Fermi level is 2.81 states/eV/f.u. The calculation puts the magnetic moment at 2.6 μB/cell. As for the uncorrected formation energy: -0.859 eV/atom.

The structure belongs to space group P-62m (No. 189); the cell edges are 8.7618, 8.7618 and 4.4917 Å and the angles 90.00°, 90.00° and 120.00°. The asymmetric unit holds La at (0.0000, 0.2630, 0.0000), La at (0.0000, 0.5843, 0.5000), Sb at (0.0000, 0.0000, 0.5000) and Sb at (0.3333, 0.6667, 0.0000).